No. 1
# Rb2NiPF6 (GGA+U, optimized geometry)
data_Rb2NiPF6
_symmetry_space_group_name_H-M 'P 1'
_symmetry_Int_Tables_number 1
_cell_length_a 6.573
_cell_length_b 6.573
_cell_length_c 6.573
_cell_angle_alpha 128.59
_cell_angle_beta 128.59
_cell_angle_gamma 75.68
loop_
_symmetry_equiv_pos_as_xyz
'x,y,z'
loop_
_atom_site_label
_atom_site_type_symbol
_atom_site_fract_x
_atom_site_fract_y
_atom_site_fract_z
_atom_site_occupancy
Rb1 Rb 0.250 0.750 0.500 1
Rb2 Rb 0.750 0.250 0.500 1
Ni1 Ni 0.000 0.000 0.000 1
P1 P 0.500 0.500 0.000 1
F1 F 0.188 0.188 0.000 1
F2 F 0.259 0.259 0.519 1
F3 F 0.259 0.741 0.000 1
F4 F 0.741 0.259 0.000 1
F5 F 0.741 0.741 0.481 1
F6 F 0.812 0.812 0.000 1
# E	-4.28	eV/atom
# symmetry	I4/mmm
# N(E_F)	0.00	states/eV/cell


No. 2
# Ni2PRhF (GGA+U, optimized geometry)
data_Ni2PRhF
_symmetry_space_group_name_H-M 'P 1'
_symmetry_Int_Tables_number 1
_cell_length_a 4.608
_cell_length_b 4.608
_cell_length_c 3.864
_cell_angle_alpha 90.00
_cell_angle_beta 90.00
_cell_angle_gamma 90.00
loop_
_symmetry_equiv_pos_as_xyz
'x,y,z'
loop_
_atom_site_label
_atom_site_type_symbol
_atom_site_fract_x
_atom_site_fract_y
_atom_site_fract_z
_atom_site_occupancy
Ni1 Ni 0.000 0.500 0.000 1
Ni2 Ni 0.500 0.000 0.000 1
P1 P 0.000 0.000 0.500 1
Rh1 Rh 0.500 0.500 0.000 1
F1 F 0.500 0.500 0.500 1
# E	-2.85	eV/atom
# symmetry	P4/mmm
# N(E_F)	4.22	states/eV/cell


No. 3
# NiP2SF (GGA+U, optimized geometry)
data_NiP2SF
_symmetry_space_group_name_H-M 'P 1'
_symmetry_Int_Tables_number 1
_cell_length_a 4.331
_cell_length_b 4.331
_cell_length_c 4.334
_cell_angle_alpha 90.00
_cell_angle_beta 90.00
_cell_angle_gamma 90.00
loop_
_symmetry_equiv_pos_as_xyz
'x,y,z'
loop_
_atom_site_label
_atom_site_type_symbol
_atom_site_fract_x
_atom_site_fract_y
_atom_site_fract_z
_atom_site_occupancy
Ni1 Ni 0.000 0.000 0.000 1
P1 P 0.000 0.500 0.000 1
P2 P 0.500 0.000 0.000 1
S1 S 0.000 0.000 0.500 1
F1 F 0.500 0.500 0.500 1
# E	-3.19	eV/atom
# symmetry	P4/mmm
# N(E_F)	5.02	states/eV/cell


No. 4
# NiPS2F (GGA+U, optimized geometry)
data_NiPS2F
_symmetry_space_group_name_H-M 'P 1'
_symmetry_Int_Tables_number 1
_cell_length_a 4.293
_cell_length_b 4.293
_cell_length_c 4.481
_cell_angle_alpha 90.00
_cell_angle_beta 90.00
_cell_angle_gamma 90.00
loop_
_symmetry_equiv_pos_as_xyz
'x,y,z'
loop_
_atom_site_label
_atom_site_type_symbol
_atom_site_fract_x
_atom_site_fract_y
_atom_site_fract_z
_atom_site_occupancy
Ni1 Ni 0.000 0.000 0.000 1
P1 P 0.000 0.000 0.500 1
S1 S 0.000 0.500 0.000 1
S2 S 0.500 0.000 0.000 1
F1 F 0.500 0.500 0.500 1
# E	-2.93	eV/atom
# symmetry	P4/mmm
# N(E_F)	5.69	states/eV/cell


> Which value of N(E_F) does entry 4 give?

5.69 states/eV/cell


Please write out number 1 again, unchanged.
# Rb2NiPF6 (GGA+U, optimized geometry)
data_Rb2NiPF6
_symmetry_space_group_name_H-M 'P 1'
_symmetry_Int_Tables_number 1
_cell_length_a 6.573
_cell_length_b 6.573
_cell_length_c 6.573
_cell_angle_alpha 128.59
_cell_angle_beta 128.59
_cell_angle_gamma 75.68
loop_
_symmetry_equiv_pos_as_xyz
'x,y,z'
loop_
_atom_site_label
_atom_site_type_symbol
_atom_site_fract_x
_atom_site_fract_y
_atom_site_fract_z
_atom_site_occupancy
Rb1 Rb 0.250 0.750 0.500 1
Rb2 Rb 0.750 0.250 0.500 1
Ni1 Ni 0.000 0.000 0.000 1
P1 P 0.500 0.500 0.000 1
F1 F 0.188 0.188 0.000 1
F2 F 0.259 0.259 0.519 1
F3 F 0.259 0.741 0.000 1
F4 F 0.741 0.259 0.000 1
F5 F 0.741 0.741 0.481 1
F6 F 0.812 0.812 0.000 1
# E	-4.28	eV/atom
# symmetry	I4/mmm
# N(E_F)	0.00	states/eV/cell